[1]
An optimized crystal structure of RbAgAuO2, computed with GGA-PBE.

Properties
Density of states at the Fermi level   3.717 states/eV/f.u.
Uncorrected formation energy   -0.43 eV/atom
Total energy   -19.16 eV per formula unit
Calculated volume   209.9 Å³ per cell

```
data_RbAgAuO2
_cell_length_a 7.2835
_cell_length_b 7.2835
_cell_length_c 4.8293
_cell_angle_alpha 90.00
_cell_angle_beta 90.00
_cell_angle_gamma 124.99
_symmetry_space_group_name_H-M 'P 1'
_symmetry_Int_Tables_number 1
_symmetry_space_group_name_Hall 'P 1'
loop_
_atom_site_label
_atom_site_type_symbol
_atom_site_fract_x
_atom_site_fract_y
_atom_site_fract_z
_atom_site_occupancy
Rb1 Rb 0.2500 0.7500 0.7556 1
Rb2 Rb 0.7500 0.2500 0.2444 1
Ag1 Ag 0.2500 0.2500 0.0000 1
Ag2 Ag 0.7500 0.7500 0.0000 1
Au1 Au 0.0000 0.0000 0.5000 1
Au2 Au 0.5000 0.5000 0.5000 1
O1 O 0.1051 0.8949 0.1929 1
O2 O 0.3949 0.6051 0.1929 1
O3 O 0.6051 0.3949 0.8071 1
O4 O 0.8949 0.1051 0.8071 1
```

[2]
An optimized crystal structure of Rb6Ag2AuO, computed with GGA-PBE.

Properties
Density of states at the Fermi level   3.933 states/eV/f.u.
Uncorrected formation energy   -0.31 eV/atom
Total energy   -22.84 eV per formula unit
Calculated volume   888.9 Å³ per cell

```
data_Rb6Ag2AuO
_cell_length_a 8.3556
_cell_length_b 8.8423
_cell_length_c 14.4733
_cell_angle_alpha 90.00
_cell_angle_beta 123.77
_cell_angle_gamma 90.00
_symmetry_space_group_name_H-M 'P 1'
_symmetry_Int_Tables_number 1
_symmetry_space_group_name_Hall 'P 1'
loop_
_atom_site_label
_atom_site_type_symbol
_atom_site_fract_x
_atom_site_fract_y
_atom_site_fract_z
_atom_site_occupancy
Rb1 Rb 0.1299 0.0292 0.2225 1
Rb2 Rb 0.1299 0.4708 0.7225 1
Rb3 Rb 0.2160 0.7297 0.0495 1
Rb4 Rb 0.2160 0.7703 0.5495 1
Rb5 Rb 0.3164 0.1712 0.0423 1
Rb6 Rb 0.3164 0.3288 0.5423 1
Rb7 Rb 0.6836 0.6712 0.4577 1
Rb8 Rb 0.6836 0.8288 0.9577 1
Rb9 Rb 0.7840 0.2297 0.4505 1
Rb10 Rb 0.7840 0.2703 0.9505 1
Rb11 Rb 0.8701 0.5292 0.2775 1
Rb12 Rb 0.8701 0.9708 0.7775 1
Ag1 Ag 0.2794 0.0701 0.7525 1
Ag2 Ag 0.2794 0.4299 0.2525 1
Ag3 Ag 0.7206 0.5701 0.7475 1
Ag4 Ag 0.7206 0.9299 0.2475 1
Au1 Au 0.5000 0.0000 0.5000 1
Au2 Au 0.5000 0.5000 0.0000 1
O1 O 0.0000 0.0000 0.0000 1
O2 O 0.0000 0.5000 0.5000 1
```

[3]
An optimized crystal structure of AgRhAu2O, computed with GGA-PBE.

Properties
Density of states at the Fermi level   4.269 states/eV/f.u.
Uncorrected formation energy   1.64 eV/atom
Total energy   -13.52 eV per formula unit
Calculated volume   131.7 Å³ per cell

```
data_AgRhAu2O
_cell_length_a 5.0841
_cell_length_b 5.0841
_cell_length_c 5.0951
_cell_angle_alpha 90.00
_cell_angle_beta 90.00
_cell_angle_gamma 90.00
_symmetry_space_group_name_H-M 'P 1'
_symmetry_Int_Tables_number 1
_symmetry_space_group_name_Hall 'P 1'
loop_
_atom_site_label
_atom_site_type_symbol
_atom_site_fract_x
_atom_site_fract_y
_atom_site_fract_z
_atom_site_occupancy
Ag1 Ag 0.0000 0.0000 0.0000 1
Rh1 Rh 0.0000 0.0000 0.5000 1
Au1 Au 0.0000 0.5000 0.0000 1
Au2 Au 0.5000 0.0000 0.0000 1
O1 O 0.5000 0.5000 0.5000 1
```

[4]
An optimized crystal structure of AgSbAuO2, computed with GGA-PBE.

Properties
Density of states at the Fermi level   3.236 states/eV/f.u.
Uncorrected formation energy   0.44 eV/atom
Total energy   -17.97 eV per formula unit
Calculated volume   89.7 Å³ per cell

```
data_AgSbAuO2
_cell_length_a 4.0782
_cell_length_b 4.0782
_cell_length_c 5.3954
_cell_angle_alpha 90.00
_cell_angle_beta 90.00
_cell_angle_gamma 90.00
_symmetry_space_group_name_H-M 'P 1'
_symmetry_Int_Tables_number 1
_symmetry_space_group_name_Hall 'P 1'
loop_
_atom_site_label
_atom_site_type_symbol
_atom_site_fract_x
_atom_site_fract_y
_atom_site_fract_z
_atom_site_occupancy
Ag1 Ag 0.0000 0.0000 0.0000 1
Sb1 Sb 0.5000 0.5000 0.0000 1
Au1 Au 0.0000 0.0000 0.5000 1
O1 O 0.0000 0.5000 0.5000 1
O2 O 0.5000 0.0000 0.5000 1
```

[5]
An optimized crystal structure of AgSbAuO5, computed with GGA-PBE.

Properties
Density of states at the Fermi level   8.255 states/eV/f.u.
Uncorrected formation energy   -0.49 eV/atom
Total energy   -38.93 eV per formula unit
Calculated volume   214.5 Å³ per cell

```
data_AgSbAuO5
_cell_length_a 6.3991
_cell_length_b 6.3991
_cell_length_c 6.0820
_cell_angle_alpha 108.18
_cell_angle_beta 108.18
_cell_angle_gamma 99.98
_symmetry_space_group_name_H-M 'P 1'
_symmetry_Int_Tables_number 1
_symmetry_space_group_name_Hall 'P 1'
loop_
_atom_site_label
_atom_site_type_symbol
_atom_site_fract_x
_atom_site_fract_y
_atom_site_fract_z
_atom_site_occupancy
Ag1 Ag 0.0692 0.9308 0.7500 1
Ag2 Ag 0.9308 0.0692 0.2500 1
Sb1 Sb 0.0000 0.5000 0.0000 1
Sb2 Sb 0.5000 0.0000 0.5000 1
Au1 Au 0.4352 0.5648 0.7500 1
Au2 Au 0.5648 0.4352 0.2500 1
O1 O 0.1219 0.5545 0.7485 1
O2 O 0.1659 0.8341 0.2500 1
O3 O 0.2273 0.3655 0.1775 1
O4 O 0.3655 0.2273 0.6775 1
O5 O 0.4455 0.8781 0.7515 1
O6 O 0.5545 0.1219 0.2485 1
O7 O 0.6345 0.7727 0.3225 1
O8 O 0.7727 0.6345 0.8225 1
O9 O 0.8341 0.1659 0.7500 1
O10 O 0.8781 0.4455 0.2515 1
```

[6]
An optimized crystal structure of AgAuSe2O8, computed with GGA-PBE.

Properties
Density of states at the Fermi level   0.622 states/eV/f.u.
Uncorrected formation energy   -0.25 eV/atom
Total energy   -55.75 eV per formula unit
Calculated volume   172.4 Å³ per cell

```
data_AgAuSe2O8
_cell_length_a 8.3005
_cell_length_b 8.3005
_cell_length_c 8.3005
_cell_angle_alpha 35.51
_cell_angle_beta 35.51
_cell_angle_gamma 35.51
_symmetry_space_group_name_H-M 'P 1'
_symmetry_Int_Tables_number 1
_symmetry_space_group_name_Hall 'P 1'
loop_
_atom_site_label
_atom_site_type_symbol
_atom_site_fract_x
_atom_site_fract_y
_atom_site_fract_z
_atom_site_occupancy
Ag1 Ag 0.0000 0.0000 0.0000 1
Au1 Au 0.5000 0.5000 0.5000 1
Se1 Se 0.2484 0.2484 0.2484 1
Se2 Se 0.7516 0.7516 0.7516 1
O1 O 0.0893 0.4528 0.7831 1
O2 O 0.2169 0.9107 0.5472 1
O3 O 0.3194 0.3194 0.3194 1
O4 O 0.4528 0.7831 0.0893 1
O5 O 0.5472 0.2169 0.9107 1
O6 O 0.6806 0.6806 0.6806 1
O7 O 0.7831 0.0893 0.4528 1
O8 O 0.9107 0.5472 0.2169 1
```

[7]
An optimized crystal structure of SiAg2AuO4, computed with GGA-PBE.

Properties
Density of states at the Fermi level   8.526 states/eV/f.u.
Uncorrected formation energy   -0.86 eV/atom
Total energy   -41.10 eV per formula unit
Calculated volume   110.5 Å³ per cell

```
data_SiAg2AuO4
_cell_length_a 5.2359
_cell_length_b 5.2359
_cell_length_c 5.2359
_cell_angle_alpha 109.71
_cell_angle_beta 109.71
_cell_angle_gamma 108.99
_symmetry_space_group_name_H-M 'P 1'
_symmetry_Int_Tables_number 1
_symmetry_space_group_name_Hall 'P 1'
loop_
_atom_site_label
_atom_site_type_symbol
_atom_site_fract_x
_atom_site_fract_y
_atom_site_fract_z
_atom_site_occupancy
Si1 Si 0.0000 0.0000 0.0000 1
Ag1 Ag 0.2500 0.7500 0.5000 1
Ag2 Ag 0.7500 0.2500 0.5000 1
Au1 Au 0.5000 0.5000 0.0000 1
O1 O 0.0117 0.3213 0.0000 1
O2 O 0.3213 0.0117 0.0000 1
O3 O 0.6787 0.6787 0.6904 1
O4 O 0.9883 0.9883 0.3096 1
```

[8]
An optimized crystal structure of Ag2SnAu2O6, computed with GGA-PBE.

Properties
Density of states at the Fermi level   6.214 states/eV/f.u.
Uncorrected formation energy   -0.19 eV/atom
Total energy   -48.15 eV per formula unit
Calculated volume   163.8 Å³ per cell

```
data_Ag2SnAu2O6
_cell_length_a 5.7218
_cell_length_b 5.7218
_cell_length_c 5.7763
_cell_angle_alpha 90.00
_cell_angle_beta 90.00
_cell_angle_gamma 120.00
_symmetry_space_group_name_H-M 'P 1'
_symmetry_Int_Tables_number 1
_symmetry_space_group_name_Hall 'P 1'
loop_
_atom_site_label
_atom_site_type_symbol
_atom_site_fract_x
_atom_site_fract_y
_atom_site_fract_z
_atom_site_occupancy
Ag1 Ag 0.3333 0.6667 0.0000 1
Ag2 Ag 0.6667 0.3333 0.0000 1
Sn1 Sn 0.0000 0.0000 0.5000 1
Au1 Au 0.3333 0.6667 0.5000 1
Au2 Au 0.6667 0.3333 0.5000 1
O1 O 0.0000 0.3173 0.3046 1
O2 O 0.0000 0.6827 0.6954 1
O3 O 0.3173 0.0000 0.3046 1
O4 O 0.3173 0.3173 0.6954 1
O5 O 0.6827 0.0000 0.6954 1
O6 O 0.6827 0.6827 0.3046 1
```

[9]
An optimized crystal structure of AgSnAuO4, computed with GGA-PBE.

Properties
Density of states at the Fermi level   0.045 states/eV/f.u.
Uncorrected formation energy   -0.65 eV/atom
Total energy   -34.51 eV per formula unit
Calculated volume   211.1 Å³ per cell

```
data_AgSnAuO4
_cell_length_a 7.0089
_cell_length_b 7.0089
_cell_length_c 7.0089
_cell_angle_alpha 127.71
_cell_angle_beta 126.94
_cell_angle_gamma 77.73
_symmetry_space_group_name_H-M 'P 1'
_symmetry_Int_Tables_number 1
_symmetry_space_group_name_Hall 'P 1'
loop_
_atom_site_label
_atom_site_type_symbol
_atom_site_fract_x
_atom_site_fract_y
_atom_site_fract_z
_atom_site_occupancy
Ag1 Ag 0.4011 0.1511 0.2500 1
Ag2 Ag 0.5989 0.8489 0.7500 1
Sn1 Sn 0.0000 0.5000 0.5000 1
Sn2 Sn 0.5000 0.5000 0.0000 1
Au1 Au 0.0000 0.0000 0.5000 1
Au2 Au 0.0000 0.5000 0.0000 1
O1 O 0.1656 0.7067 0.4589 1
O2 O 0.2522 0.2933 0.9589 1
O3 O 0.2626 0.2939 0.5312 1
O4 O 0.2626 0.7314 0.9688 1
O5 O 0.7374 0.2686 0.0312 1
O6 O 0.7374 0.7061 0.4688 1
O7 O 0.7478 0.7067 0.0411 1
O8 O 0.8344 0.2933 0.5411 1
```

[10]
An optimized crystal structure of Tb2AgAuO5, computed with GGA-PBE.

Properties
Uncorrected formation energy   -1.90 eV/atom
Total energy   -57.26 eV per formula unit
Calculated volume   255.7 Å³ per cell

```
data_Tb2AgAuO5
_cell_length_a 6.6115
_cell_length_b 6.6115
_cell_length_c 5.8496
_cell_angle_alpha 90.00
_cell_angle_beta 90.00
_cell_angle_gamma 90.00
_symmetry_space_group_name_H-M 'P 1'
_symmetry_Int_Tables_number 1
_symmetry_space_group_name_Hall 'P 1'
loop_
_atom_site_label
_atom_site_type_symbol
_atom_site_fract_x
_atom_site_fract_y
_atom_site_fract_z
_atom_site_occupancy
Tb1 Tb 0.1763 0.3237 0.0000 1
Tb2 Tb 0.3237 0.8237 0.0000 1
Tb3 Tb 0.6763 0.1763 0.0000 1
Tb4 Tb 0.8237 0.6763 0.0000 1
Ag1 Ag 0.0000 0.0000 0.5000 1
Ag2 Ag 0.5000 0.5000 0.5000 1
Au1 Au 0.0000 0.5000 0.5000 1
Au2 Au 0.5000 0.0000 0.5000 1
O1 O 0.0000 0.0000 0.0000 1
O2 O 0.1358 0.6358 0.2360 1
O3 O 0.1358 0.6358 0.7640 1
O4 O 0.3642 0.1358 0.2360 1
O5 O 0.3642 0.1358 0.7640 1
O6 O 0.5000 0.5000 0.0000 1
O7 O 0.6358 0.8642 0.2360 1
O8 O 0.6358 0.8642 0.7640 1
O9 O 0.8642 0.3642 0.2360 1
O10 O 0.8642 0.3642 0.7640 1
```

[11]
An optimized crystal structure of TbAg2AuO4, computed with GGA-PBE.

Properties
Uncorrected formation energy   -1.02 eV/atom
Total energy   -41.56 eV per formula unit
Calculated volume   118.1 Å³ per cell

```
data_TbAg2AuO4
_cell_length_a 5.3590
_cell_length_b 5.3590
_cell_length_c 5.3590
_cell_angle_alpha 111.23
_cell_angle_beta 111.23
_cell_angle_gamma 106.00
_symmetry_space_group_name_H-M 'P 1'
_symmetry_Int_Tables_number 1
_symmetry_space_group_name_Hall 'P 1'
loop_
_atom_site_label
_atom_site_type_symbol
_atom_site_fract_x
_atom_site_fract_y
_atom_site_fract_z
_atom_site_occupancy
Tb1 Tb 0.0000 0.0000 0.0000 1
Ag1 Ag 0.2500 0.7500 0.5000 1
Ag2 Ag 0.5000 0.5000 0.0000 1
Au1 Au 0.7500 0.2500 0.5000 1
O1 O 0.0214 0.0547 0.6116 1
O2 O 0.4431 0.4098 0.3884 1
O3 O 0.5902 0.9786 0.0332 1
O4 O 0.9453 0.5569 0.9668 1
```